Here is a relaxed Ce6Os3Pt crystal from Alexandria via LeMat-Bulk. Energies are from GGA-PBE.

a b c (Å): 4.051 11.650 11.583
angles (deg): 110.28 90.00 90.00
Last column: magnetic moment on the atom in μB.
Fractional coordinates of all 20 atoms:
Ce 0.750 0.451 0.586  0.35
Ce 0.250 0.549 0.414  0.35
Ce 0.750 0.931 0.102  0.43
Ce 0.250 0.069 0.898  0.43
Ce 0.750 0.388 0.041  0.23
Ce 0.250 0.612 0.959  0.23
Ce 0.750 0.720 0.267  0.33
Ce 0.250 0.280 0.733  0.33
Ce 0.750 0.106 0.440  0.44
Ce 0.250 0.894 0.560  0.44
Ce 0.750 0.745 0.760  0.34
Ce 0.250 0.255 0.240  0.34
Os 0.750 0.464 0.827  -0.05
Os 0.250 0.536 0.173  -0.05
Os 0.750 0.714 0.511  -0.06
Os 0.250 0.286 0.489  -0.06
Os 0.750 0.163 0.078  -0.07
Os 0.250 0.837 0.922  -0.07
Pt 0.750 0.077 0.692  -0.01
Pt 0.250 0.923 0.308  -0.01

Formation energy (meV/atom): -299
Space group: P2_1/m
Mass density (g/cm3): 10.40
Total magnetic moment (μB/cell): 4.926

***

Here is a relaxed HgOs2Pb crystal from Alexandria via LeMat-Bulk. Energies are from GGA-PBE.

a b c (Å): 6.544 6.544 6.544
angles (deg): 154.21 137.79 50.12
Fractional coordinates of all 4 atoms:
Hg 0.252 0.752 0.500
Os 0.942 0.942 0.000
Os 0.767 0.267 0.500
Pb 0.539 0.539 0.000

Formation energy (meV/atom): 919
Space group: Imm2
Mass density (g/cm3): 16.05
Total magnetic moment (μB/cell): 0.000

***

Here is a relaxed RbZn2NiHg crystal from Alexandria via LeMat-Bulk. Energies are from GGA-PBE.

a b c (Å): 4.844 4.844 5.203
angles (deg): 90.00 90.00 90.00
Fractional coordinates of all 5 atoms:
Ni 0.000 0.000 0.000
Zn 0.000 0.500 0.000
Zn 0.500 0.000 0.000
Hg 0.000 0.000 0.500
Rb 0.500 0.500 0.500

Formation energy (meV/atom): -10
Space group: P4/mmm
Mass density (g/cm3): 6.47
Total magnetic moment (μB/cell): 0.000

***

Here is a relaxed Ac4PaSb6 crystal from Alexandria via LeMat-Bulk. Energies are from GGA-PBE.

a b c (Å): 9.224 9.224 9.224
angles (deg): 91.90 91.90 88.10
Fractional coordinates of all 22 atoms:
Ac 0.370 0.130 0.250
Ac 0.870 0.250 0.370
Ac 0.250 0.630 0.130
Ac 0.250 0.250 0.750
Ac 0.750 0.750 0.250
Ac 0.750 0.370 0.870
Ac 0.130 0.750 0.630
Ac 0.630 0.870 0.750
Pa 0.500 0.500 0.500
Pa 0.000 0.000 0.000
Sb 0.686 0.070 0.081
Sb 0.081 0.314 0.070
Sb 0.581 0.430 0.186
Sb 0.930 0.081 0.686
Sb 0.570 0.186 0.581
Sb 0.186 0.419 0.430
Sb 0.814 0.581 0.570
Sb 0.430 0.814 0.419
Sb 0.070 0.919 0.314
Sb 0.419 0.570 0.814
Sb 0.919 0.686 0.930
Sb 0.314 0.930 0.919

E_form (uncorrected) (eV/atom): -0.94
Space group: R-3c
Mass density (g/cm3): 7.93
Total magnetic moment (μB/cell): 0.001